1.
# TiCuGeRh, optimized geometry, DFT GGA-PBE
# total magnetization	0.000	μB/f.u.
# DFT formation energy	-177	kJ/mol of formula units
# V	14.200	A^3/atom
data_TiCuGeRh
_cell_length_a 6.1019
_cell_length_b 6.1019
_cell_length_c 6.1019
_cell_angle_alpha 90.00
_cell_angle_beta 90.00
_cell_angle_gamma 90.00
_space_group_name_H-M_alt 'F -4 3 m'
_space_group_IT_number 216
_space_group_name_Hall 'F -4 2 3'
loop_
_atom_site_label
_atom_site_fract_x
_atom_site_fract_y
_atom_site_fract_z
Ti1 0.0000 0.0000 0.0000
Cu1 0.2500 0.2500 0.2500
Ge1 0.0000 0.0000 0.5000
Rh1 0.2500 0.2500 0.7500


2.
# KMgBeSe2, optimized geometry, DFT GGA-PBE
# total magnetization	0.497	μB/f.u.
# formation energy without anion corrections	-0.662	eV per atom
# V	25.716	A^3/atom
data_KMgBeSe2
_cell_length_a 7.4500
_cell_length_b 5.2868
_cell_length_c 6.6863
_cell_angle_alpha 90.00
_cell_angle_beta 102.45
_cell_angle_gamma 90.00
_space_group_name_H-M_alt 'P 1 2/c 1'
_space_group_IT_number 13
_space_group_name_Hall '-P 2yc'
loop_
_atom_site_label
_atom_site_fract_x
_atom_site_fract_y
_atom_site_fract_z
K1 0.0000 0.2377 0.2500
Mg1 0.5000 0.4311 0.2500
Be1 0.5000 0.0000 0.0000
Se1 0.2814 0.2566 0.8904


3.
# DyBe2B6, optimized geometry, DFT GGA-PBE
# total magnetization	0.000	μB/f.u.
# DFT formation energy	-183	kJ/mol of formula units
# V	8.638	A^3/atom
data_DyBe2B6
_cell_length_a 3.0656
_cell_length_b 6.3128
_cell_length_c 8.0347
_cell_angle_alpha 90.00
_cell_angle_beta 90.00
_cell_angle_gamma 90.00
_space_group_name_H-M_alt 'I m m m'
_space_group_IT_number 71
_space_group_name_Hall '-I 2 2'
loop_
_atom_site_label
_atom_site_fract_x
_atom_site_fract_y
_atom_site_fract_z
Dy1 0.0000 0.0000 0.0000
Be1 0.0000 0.5000 0.1494
B1 0.0000 0.1383 0.5000
B2 0.0000 0.2415 0.3008


4.
# PuPa2Al2Ru5, optimized geometry, DFT GGA-PBE
# total magnetization	4.543	μB/f.u.
# DFT formation energy	-374	kJ/mol of formula units
# V	17.766	A^3/atom
data_PuPa2Al2Ru5
_cell_length_a 10.0179
_cell_length_b 10.0179
_cell_length_c 3.5405
_cell_angle_alpha 90.00
_cell_angle_beta 90.00
_cell_angle_gamma 90.00
_space_group_name_H-M_alt 'P 4/m b m'
_space_group_IT_number 127
_space_group_name_Hall '-P 4 2ab'
loop_
_atom_site_label
_atom_site_fract_x
_atom_site_fract_y
_atom_site_fract_z
Pu1 0.0000 0.0000 0.0000
Pa1 0.1744 0.3256 0.0000
Al1 0.1223 0.6223 0.0000
Ru1 0.0000 0.5000 0.5000
Ru2 0.0785 0.7935 0.5000


5.
# Ho2Hg3Rh, optimized geometry, DFT GGA-PBE
# total magnetization	0.000	μB/f.u.
# DFT formation energy	-261	kJ/mol of formula units
# V	23.034	A^3/atom
data_Ho2Hg3Rh
_cell_length_a 3.3935
_cell_length_b 4.8514
_cell_length_c 8.3947
_cell_angle_alpha 90.00
_cell_angle_beta 90.00
_cell_angle_gamma 90.00
_space_group_name_H-M_alt 'P m m 2'
_space_group_IT_number 25
_space_group_name_Hall 'P 2 -2'
loop_
_atom_site_label
_atom_site_fract_x
_atom_site_fract_y
_atom_site_fract_z
Ho1 0.0000 0.0000 0.0000
Ho2 0.0000 0.5000 0.4220
Hg1 0.5000 0.0000 0.6048
Hg2 0.5000 0.5000 0.1156
Hg3 0.5000 0.5000 0.7788
Rh1 0.5000 0.0000 0.2764


6.
# Mn6H5, optimized geometry, DFT GGA-PBE
# total magnetization	3.337	μB/f.u.
# uncorrected energy	-6.556	eV/atom
# V	7.053	A^3/atom
data_Mn6H5
_cell_length_a 4.5644
_cell_length_b 7.9640
_cell_length_c 4.5683
_cell_angle_alpha 90.00
_cell_angle_beta 110.87
_cell_angle_gamma 90.00
_space_group_name_H-M_alt 'C 1 2/m 1'
_space_group_IT_number 12
_space_group_name_Hall '-C 2y'
loop_
_atom_site_label
_atom_site_fract_x
_atom_site_fract_y
_atom_site_fract_z
Mn1 0.2453 0.0000 0.2542
Mn2 0.2447 0.1624 0.7443
H1 0.0000 0.1751 0.0000
H2 0.0000 0.3269 0.5000
H3 0.0000 0.5000 0.0000


7.
# Ta2InSi, optimized geometry, DFT GGA-PBE
# total magnetization	0.000	μB/f.u.
# formation energy without anion corrections	0.503	eV per atom
# V	19.517	A^3/atom
data_Ta2InSi
_cell_length_a 3.9656
_cell_length_b 3.9656
_cell_length_c 19.8574
_cell_angle_alpha 90.00
_cell_angle_beta 90.00
_cell_angle_gamma 90.00
_space_group_name_H-M_alt 'I -4 2 d'
_space_group_IT_number 122
_space_group_name_Hall 'I -4 2bw'
loop_
_atom_site_label
_atom_site_fract_x
_atom_site_fract_y
_atom_site_fract_z
Ta1 0.2402 0.2500 0.1250
In1 0.0000 0.0000 0.5000
Si1 0.0000 0.0000 0.0000


8.
# FeSi2Ru, optimized geometry, DFT GGA-PBE
# total magnetization	0.000	μB/f.u.
# formation energy without anion corrections	-0.504	eV per atom
# V	11.748	A^3/atom
data_FeSi2Ru
_cell_length_a 4.0431
_cell_length_b 4.0431
_cell_length_c 2.8747
_cell_angle_alpha 90.00
_cell_angle_beta 90.00
_cell_angle_gamma 90.00
_space_group_name_H-M_alt 'P 4/m m m'
_space_group_IT_number 123
_space_group_name_Hall '-P 4 2'
loop_
_atom_site_label
_atom_site_fract_x
_atom_site_fract_y
_atom_site_fract_z
Fe1 0.0000 0.0000 0.0000
Si1 0.0000 0.5000 0.5000
Ru1 0.5000 0.5000 0.0000


9.
# Cr3OsN, optimized geometry, DFT GGA-PBE
# total magnetization	0.000	μB/f.u.
# formation energy without anion corrections	0.199	eV per atom
# V	11.761	A^3/atom
data_Cr3OsN
_cell_length_a 2.6459
_cell_length_b 12.0712
_cell_length_c 7.3645
_cell_angle_alpha 90.00
_cell_angle_beta 90.00
_cell_angle_gamma 90.00
_space_group_name_H-M_alt 'C m c m'
_space_group_IT_number 63
_space_group_name_Hall '-C 2c 2'
loop_
_atom_site_label
_atom_site_fract_x
_atom_site_fract_y
_atom_site_fract_z
Cr1 0.0000 0.1382 0.2500
Cr2 0.0000 0.3245 0.0779
Os1 0.0000 0.0000 0.0000
N1 0.0000 0.2363 0.7500


10.
# Ca2NbPN5, optimized geometry, DFT GGA-PBE
# total magnetization	0.061	μB/f.u.
# formation energy without anion corrections	-0.730	eV per atom
# V	13.193	A^3/atom
data_Ca2NbPN5
_cell_length_a 3.1034
_cell_length_b 13.8846
_cell_length_c 11.0228
_cell_angle_alpha 90.00
_cell_angle_beta 90.00
_cell_angle_gamma 90.00
_space_group_name_H-M_alt 'C m c 21'
_space_group_IT_number 36
_space_group_name_Hall 'C 2c -2'
loop_
_atom_site_label
_atom_site_fract_x
_atom_site_fract_y
_atom_site_fract_z
Ca1 0.0000 0.0830 0.0000
Ca2 0.0000 0.1392 0.6798
Nb1 0.0000 0.2177 0.3989
P1 0.0000 0.4392 0.7612
N1 0.0000 0.0406 0.3409
N2 0.0000 0.2929 0.0177
N3 0.0000 0.3212 0.7609
N4 0.0000 0.3487 0.3571
N5 0.0000 0.4972 0.6375


11.
# InAsCl2, optimized geometry, DFT GGA-PBE
# total magnetization	0.000	μB/f.u.
# formation energy without anion corrections	-0.304	eV per atom
# V	26.797	A^3/atom
# relative energy among the computed polymorphs	0.703	eV per formula unit
data_InAsCl2
_cell_length_a 11.4464
_cell_length_b 3.7025
_cell_length_c 5.8881
_cell_angle_alpha 90.00
_cell_angle_beta 120.79
_cell_angle_gamma 90.00
_space_group_name_H-M_alt 'C 1 2/m 1'
_space_group_IT_number 12
_space_group_name_Hall '-C 2y'
loop_
_atom_site_label
_atom_site_fract_x
_atom_site_fract_y
_atom_site_fract_z
In1 0.0000 0.0000 0.0000
As1 0.0000 0.5000 0.5000
Cl1 0.1827 0.0000 0.6836


12.
# NaTi3Pt, optimized geometry, DFT GGA-PBE
# total magnetization	2.506	μB/f.u.
# DFT formation energy	194	kJ/mol of formula units
# V	23.861	A^3/atom
# relative energy among the computed polymorphs	0.000	eV per formula unit
data_NaTi3Pt
_cell_length_a 4.9229
_cell_length_b 4.9229
_cell_length_c 4.9229
_cell_angle_alpha 90.00
_cell_angle_beta 90.00
_cell_angle_gamma 90.00
_space_group_name_H-M_alt 'P m -3 m'
_space_group_IT_number 221
_space_group_name_Hall '-P 4 2 3'
loop_
_atom_site_label
_atom_site_fract_x
_atom_site_fract_y
_atom_site_fract_z
Na1 0.0000 0.0000 0.0000
Ti1 0.0000 0.5000 0.5000
Pt1 0.5000 0.5000 0.5000